DFT (PBE) results for a geometry-optimized SmLuSn structure.

The structure in extended XYZ format:
```
3
Lattice="3.898 0.000 0.000 0.000 5.092 0.000 0.000 -2.546 4.410" Properties=species:S:1:pos:R:3 pbc="T T T"
Lu 3.508 0.000 0.000
Sn 2.892 2.546 1.470
Sm 1.395 0.000 2.940
```

Results
Electronic total energy (hartree per atom): -0.176
Relative energy among the computed polymorphs (meV/atom): 44
ρ (kg/m3): 8425